DFT (PBE-GGA) results for crystalline SmDy2Tm2 at its relaxed geometry.

Properties
As for the energy of formation from the pure elements: 0.417 eV per formula unit. The energy relative to the lowest polymorph listed for this composition is 0 meV/atom. The value obtained for the raw total energy is -4.49 eV/atom. The total magnetization comes out at 0.0 μB per formula unit.

Cell: 9.2762 9.2762 3.7026 Å, 90.00 90.00 90.00°
With the nearest neighbours (Å) after each atom.
Fractional coordinates of all 10 atoms:
1 Sm 0.0000 0.0000 0.0000  4 Dy 3.66, 2 Sm 3.70, 8 Tm 3.91
2 Sm 0.5000 0.5000 0.0000  4 Dy 3.66, 2 Sm 3.70, 8 Tm 3.91
3 Dy 0.1263 0.3737 0.0000  6 Tm 3.24-3.35, 1 Dy 3.31
4 Dy 0.3737 0.8737 0.0000  6 Tm 3.24-3.35, 1 Dy 3.31
5 Dy 0.6263 0.1263 0.0000  6 Tm 3.24-3.35, 1 Dy 3.31
6 Dy 0.8737 0.6263 0.0000  6 Tm 3.24-3.35, 1 Dy 3.31
7 Tm 0.1709 0.6709 0.5000  6 Dy 3.24-3.35
8 Tm 0.3291 0.1709 0.5000  6 Dy 3.24-3.35
9 Tm 0.6709 0.8291 0.5000  6 Dy 3.24-3.35
10 Tm 0.8291 0.3291 0.5000  6 Dy 3.24-3.35

=====

DFT (PBE-GGA) results for crystalline Sm5DyTm2 at its relaxed geometry.

Properties
As for the energy of formation from the pure elements: 0.138 eV per formula unit. The value obtained for the raw total energy is -4.63 eV/atom. The total magnetization comes out at 0.0 μB per formula unit.

Cell: 7.1644 14.3293 5.0602 Å, 90.00 90.00 90.00°
With the nearest neighbours (Å) after each atom.
Fractional coordinates of all 16 atoms:
1 Sm 0.0000 0.0000 0.0000  4 Tm 3.57, 6 Sm 3.58-3.59, 2 Dy 3.58
2 Sm 0.0010 0.2507 0.0000  1 Dy 3.57, 4 Tm 3.58-3.59, 7 Sm 3.58-3.59
3 Sm 0.2488 0.6245 0.5000  4 Tm 3.57-3.60, 2 Dy 3.57, 6 Sm 3.58-3.59
4 Sm 0.2512 0.1245 0.5000  4 Tm 3.57-3.60, 2 Dy 3.57, 6 Sm 3.58-3.59
5 Sm 0.4990 0.7507 0.0000  1 Dy 3.57, 4 Tm 3.58-3.59, 7 Sm 3.58-3.59
6 Sm 0.5000 0.5000 0.0000  4 Tm 3.57, 6 Sm 3.58-3.59, 2 Dy 3.58
7 Sm 0.5010 0.2493 0.0000  1 Dy 3.57, 4 Tm 3.58-3.59, 7 Sm 3.58-3.59
8 Sm 0.7488 0.8755 0.5000  4 Tm 3.57-3.60, 2 Dy 3.57, 6 Sm 3.58-3.59
9 Sm 0.7512 0.3755 0.5000  4 Tm 3.57-3.60, 2 Dy 3.57, 6 Sm 3.58-3.59
10 Sm 0.9990 0.7493 0.0000  1 Dy 3.57, 4 Tm 3.58-3.59, 7 Sm 3.58-3.59
11 Dy 0.0000 0.5000 0.0000  8 Sm 3.57-3.58, 4 Tm 3.58
12 Dy 0.5000 0.0000 0.0000  8 Sm 3.57-3.58, 4 Tm 3.58
13 Tm 0.2503 0.3756 0.5000  10 Sm 3.57-3.60, 2 Dy 3.58
14 Tm 0.2497 0.8756 0.5000  10 Sm 3.57-3.60, 2 Dy 3.58
15 Tm 0.7503 0.1244 0.5000  10 Sm 3.57-3.60, 2 Dy 3.58
16 Tm 0.7497 0.6244 0.5000  10 Sm 3.57-3.60, 2 Dy 3.58